Entry 1:
Computed, not measured: an optimized crystal structure of Ta2CuAs at the PBEsol level of DFT.

Cell: 4.476 4.476 4.476 Å, 60.00 60.00 60.00°
Sites, in units of the cell vectors:
Ta1 0.750 0.750 0.750
Ta2 0.000 0.000 0.000
As1 0.500 0.500 0.500
Cu1 0.250 0.250 0.250

Results
**Formation energy from the elements**: 0.44 eV/atom
**Fermi-level density of states**: 3.0 states/eV per cell
**Uncorrected energy**: -8.195 eV/atom
**Magnetic moment**: 0.00 μB per formula unit

=====

Entry 2:
Computed, not measured: an optimized crystal structure of TbZnCuAs2 at the PBEsol level of DFT.

Cell: 4.066 4.066 6.635 Å, 90.00 90.00 120.00°
Sites, in units of the cell vectors:
Cu1 0.667 0.333 0.356
Tb1 0.000 0.000 0.015
As1 0.667 0.333 0.748
As2 0.333 0.667 0.255
Zn1 0.333 0.667 0.626

Results
**Formation energy from the elements**: -0.68 eV/atom
**Fermi-level density of states**: 0.2 states/eV per cell
**Uncorrected energy**: -4.905 eV/atom
**Magnetic moment**: 0.00 μB per formula unit

=====

Entry 3:
Computed, not measured: an optimized crystal structure of CuTc2As at the PBEsol level of DFT.

Cell: 2.988 2.988 5.988 Å, 90.00 90.00 90.00°
Sites, in units of the cell vectors:
As1 0.500 0.500 0.000
Tc1 0.000 0.000 0.239
Tc2 0.000 0.000 0.761
Cu1 0.500 0.500 0.500

Results
**Formation energy from the elements**: 0.18 eV/atom
**Fermi-level density of states**: 4.3 states/eV per cell
**Uncorrected energy**: -7.817 eV/atom
**Magnetic moment**: 0.00 μB per formula unit

=====

Look up the magnetic moment of the third one. 0.00 μB per formula unit